First-principles (meta-GGA SCAN) data for CaTaTc3 at its PBEsol-relaxed geometry, as listed in Alexandria via LeMat-Bulk.

## Properties
- SG = Pm-3m
- electronic total energy (eV/cell) = -169.23
- ΔH_f (0 K) (eV/atom) = 2.439

abc: 4.4098 4.4098 4.4098
angles: 90.00 90.00 90.00
Sites, in units of the cell vectors:
Tc  0.5000  0.0000  0.0000
Tc  0.0000  0.0000  0.5000
Tc  0.0000  0.5000  0.0000
Ta  0.5000  0.5000  0.5000
Ca  0.0000  0.0000  0.0000

=====

First-principles (meta-GGA SCAN) data for CaTaTe3 at its PBEsol-relaxed geometry, as listed in Alexandria via LeMat-Bulk.

## Properties
- SG = Pm-3m
- electronic total energy (eV/cell) = -189.41
- formation energy from raw total energies (eV per atom) = -0.28

abc: 5.4060 5.4060 5.4060
angles: 90.00 90.00 90.00
Sites, in units of the cell vectors:
Ta  0.0000  0.0000  0.0000
Ca  0.5000  0.5000  0.5000
Te  0.0000  0.0000  0.5000
Te  0.0000  0.5000  0.0000
Te  0.5000  0.0000  0.0000